11
Lattice="-6.5820 -3.4576 -1.1794 0.8995 -7.0474 -2.4886 -3.1125 -8.0089 4.1733" Properties=species:S:1:pos:R:3 comment="Li3PaBr7 | Alexandria via LeMat-Bulk | GGA-PBE | relaxed" space_group="Cm (8)" final_energy_ev_per_atom=-3.8998 formation_energy_uncorrected_ev_per_atom=-1.450 vol_a3_per_atom=31.394 pbc="T T T"
Pa -5.5152 -10.2511 -3.4082
Br -0.9737 -2.3483 0.8747
Br -4.4041 -14.4815 0.3227
Br -4.1569 -4.4876 0.2469
Br -8.3507 -12.5878 1.0133
Br -7.7424 -15.9429 -0.5292
Br -4.1878 -8.3308 -1.0885
Br -0.9101 -6.0455 -0.3213
Li -3.2132 -6.0241 -1.8440
Li -6.2891 -7.9815 0.3515
Li -2.2904 -9.9002 -0.3482

***

4
Lattice="-4.4096 -3.7808 0.6518 3.2930 -4.2719 -2.2520 1.9220 3.0869 4.5762" Properties=species:S:1:pos:R:3 comment="Sr2MgSc | Alexandria via LeMat-Bulk | GGA-PBE | relaxed" formation_enthalpy_0k_ev_per_atom=0.25 space_group="I-4m2 (119)" final_energy_ev_per_atom=-2.5769 vol_a3_per_atom=35.216 pbc="T T T"
Sc -1.5230 -2.3601 2.2139
Sr 0.0000 0.0000 0.0000
Sr 2.3283 -2.6057 0.7620
Mg -0.5583 -4.0263 -0.8001

***

5
Lattice="-3.7655 -1.2419 3.8603 0.3229 -5.3431 -1.4039 3.8382 -0.6932 3.5209" Properties=species:S:1:pos:R:3 comment="BeSbTe2Au | Alexandria via LeMat-Bulk | GGA-PBE | relaxed" space_group="P4/mmm (123)" relative_energy_mev_per_atom=498 final_energy_ev_per_atom=-2.4356 formation_energy_uncorrected_ev_per_atom=1.046 vol_a3_per_atom=32.182 pbc="T T T"
Be 0.1978 -3.6391 2.9886
Sb 1.9191 -0.3466 1.7605
Au 0.0000 0.0000 0.0000
Te 0.1615 -2.6715 -0.7020
Te -1.8828 -0.6210 1.9302

***

9
Lattice="4.6146 0.0000 0.0000 -2.3073 5.4513 -0.4112 0.0000 -2.8344 8.2349" Properties=species:S:1:pos:R:3 comment="Ce3Al4Au2 | Alexandria via LeMat-Bulk | GGA-PBE | relaxed" formation_enthalpy_0k_ev_per_atom=-0.56 space_group="C2/m (12)" final_energy_ev_per_atom=-4.9274 vol_a3_per_atom=22.419 pbc="T T T"
Al 0.0000 -0.7981 2.9496
Al 0.0000 0.2581 7.4353
Al 2.3073 2.3588 0.3884
Al 2.3073 3.4149 4.8740
Ce 0.0000 2.5263 2.5785
Ce 2.3073 0.0906 5.2452
Ce 0.0000 0.0000 0.0000
Au 0.0000 2.3467 5.7039
Au 2.3073 0.2702 2.1198

***

4
Lattice="3.9560 0.0000 0.0000 1.9780 3.4260 0.0000 1.9780 1.1420 7.1005" Properties=species:S:1:pos:R:3 comment="Tm2PdSe | Alexandria via LeMat-Bulk | GGA-PBE | relaxed" space_group="R3m (160)" relative_energy_mev_per_atom=0 final_energy_ev_per_atom=-5.6179 formation_energy_uncorrected_ev_per_atom=-1.213 vol_a3_per_atom=24.059 pbc="T T T"
Pd 5.9340 3.4260 7.0956
Tm 1.9780 1.1420 1.5964
Tm 1.9780 1.1420 5.4896
Se 3.9560 2.2840 3.5696

***

18
Lattice="4.1883 0.0000 0.0000 0.0000 8.4553 -4.8817 0.0000 0.0000 9.7633" Properties=species:S:1:pos:R:3 comment="PaAl3Au2 | Alexandria via LeMat-Bulk | GGA-PBE | relaxed" formation_enthalpy_0k_ev_per_atom=-0.37 space_group="P6/mmm (191)" final_energy_ev_per_atom=-4.9122 vol_a3_per_atom=19.208 pbc="T T T"
Al 2.0942 4.2276 2.4408
Al 0.0000 2.3198 -1.3394
Al 2.0942 4.2276 -2.4408
Al 0.0000 6.1355 -3.5423
Al 0.0000 0.0000 2.6787
Al 0.0000 2.3198 1.3393
Al 0.0000 6.1354 3.5423
Al 0.0000 0.0000 7.0846
Al 2.0942 0.0000 4.8817
Au 2.0942 1.6564 2.8690
Au 2.0942 5.1424 4.8816
Au 2.0942 6.7988 2.0126
Au 2.0942 6.7988 -2.0126
Au 2.0942 3.3129 0.0000
Au 2.0942 1.6564 6.8943
Pa 0.0000 2.8184 4.8817
Pa 0.0000 5.6369 0.0000
Pa 2.0942 0.0000 0.0000